# La2Tm2In, relaxed, DFT GGA-PBE
# Energy (eV per atom): -4.478
# Formation enthalpy at 0 K (kcal/mol of atoms): -3.940
data_La2Tm2In
_space_group_name_H-M_alt 'C 1 2/m 1'
_space_group_IT_number 12
_cell_length_a 12.619
_cell_length_b 3.909
_cell_length_c 8.835
_cell_angle_alpha 90.00
_cell_angle_beta 133.35
_cell_angle_gamma 90.00
loop_
_space_group_symop_operation_xyz
'x,y,z'
'-x,-y,-z'
'-x,y,-z'
'x,-y,z'
'x+1/2,y+1/2,z'
'-x+1/2,-y+1/2,-z'
'-x+1/2,y+1/2,-z'
'x+1/2,-y+1/2,z'
loop_
_atom_site_label
_atom_site_fract_x
_atom_site_fract_y
_atom_site_fract_z
La1 0.090 0.000 0.394
Tm1 0.242 0.500 0.837
In1 0.000 0.500 0.000



# La5TmIn2, relaxed, DFT GGA-PBE
# Energy (eV per atom): -4.513
# Formation enthalpy at 0 K (kcal/mol of atoms): -4.376
data_La5TmIn2
_space_group_name_H-M_alt 'P b a m'
_space_group_IT_number 55
_cell_length_a 7.937
_cell_length_b 16.587
_cell_length_c 3.829
_cell_angle_alpha 90.00
_cell_angle_beta 90.00
_cell_angle_gamma 90.00
loop_
_space_group_symop_operation_xyz
'x,y,z'
'-x,-y,-z'
'-x,-y,z'
'x,y,-z'
'x+1/2,-y+1/2,-z'
'-x+1/2,y+1/2,z'
'-x+1/2,y+1/2,-z'
'x+1/2,-y+1/2,z'
loop_
_atom_site_label
_atom_site_fract_x
_atom_site_fract_y
_atom_site_fract_z
La1 0.000 0.000 0.000
La2 0.016 0.247 0.000
La3 0.226 0.872 0.500
Tm1 0.000 0.500 0.000
In1 0.228 0.619 0.500



# LaTm2In, relaxed, DFT GGA-PBE
# Energy (eV per atom): -4.126
# Formation enthalpy at 0 K (kcal/mol of atoms): 0.601
data_LaTm2In
_space_group_name_H-M_alt 'R -3 m'
_space_group_IT_number 166
_space_group_name_Hall '-R 3 2"'
_cell_length_a 3.4679
_cell_length_b 3.4679
_cell_length_c 35.4229
_cell_angle_alpha 90.00
_cell_angle_beta 90.00
_cell_angle_gamma 120.00
loop_
_atom_site_label
_atom_site_fract_x
_atom_site_fract_y
_atom_site_fract_z
La1 0.0000 0.0000 0.0000
Tm1 0.0000 0.0000 0.0962
In1 0.0000 0.0000 0.5000



# La5Tm2In5, relaxed, DFT GGA-PBE
# Energy (eV per atom): -4.276
# Formation enthalpy at 0 K (kcal/mol of atoms): -7.755
data_La5Tm2In5
_space_group_name_H-M_alt 'C 1 2/m 1'
_space_group_IT_number 12
_cell_length_a 10.177
_cell_length_b 5.480
_cell_length_c 13.792
_cell_angle_alpha 90.00
_cell_angle_beta 105.24
_cell_angle_gamma 90.00
loop_
_space_group_symop_operation_xyz
'x,y,z'
'-x,-y,-z'
'-x,y,-z'
'x,-y,z'
'x+1/2,y+1/2,z'
'-x+1/2,-y+1/2,-z'
'-x+1/2,y+1/2,-z'
'x+1/2,-y+1/2,z'
loop_
_atom_site_label
_atom_site_fract_x
_atom_site_fract_y
_atom_site_fract_z
La1 0.000 0.000 0.000
La2 0.075 0.500 0.813
La3 0.152 0.500 0.489
Tm1 0.195 0.000 0.706
In1 0.000 0.000 0.500
In2 0.125 0.000 0.284
In3 0.204 0.500 0.065



# LaTm2In, relaxed, DFT GGA-PBE
# Energy (eV per atom): -4.394
# Formation enthalpy at 0 K (kcal/mol of atoms): -5.576
data_LaTm2In
_space_group_name_H-M_alt 'P 4/m m m'
_space_group_IT_number 123
_space_group_name_Hall '-P 4 2'
_cell_length_a 4.921
_cell_length_b 4.921
_cell_length_c 4.839
_cell_angle_alpha 90.00
_cell_angle_beta 90.00
_cell_angle_gamma 90.00
loop_
_atom_site_label
_atom_site_fract_x
_atom_site_fract_y
_atom_site_fract_z
La1 0.000 0.000 0.000
Tm1 0.000 0.500 0.500
In1 0.500 0.500 0.000



# La6Tm5In, relaxed, DFT GGA-PBE
# Energy (eV per atom): -4.607
# Formation enthalpy at 0 K (kcal/mol of atoms): -1.188
data_La6Tm5In
_space_group_name_H-M_alt 'I m m m'
_space_group_IT_number 71
_space_group_name_Hall '-I 2 2'
_cell_length_a 5.165
_cell_length_b 9.818
_cell_length_c 15.543
_cell_angle_alpha 90.00
_cell_angle_beta 90.00
_cell_angle_gamma 90.00
loop_
_atom_site_label
_atom_site_fract_x
_atom_site_fract_y
_atom_site_fract_z
La1 0.000 0.245 0.000
La2 0.000 0.253 0.332
Tm1 0.000 0.000 0.169
Tm2 0.000 0.000 0.500
Tm3 0.000 0.500 0.165
In1 0.000 0.500 0.500